# GGA-PBE TlSn2Rh2, relaxed
data_TlSn2Rh2
_cell_length_a 7.901
_cell_length_b 7.901
_cell_length_c 3.165
_cell_angle_alpha 90.00
_cell_angle_beta 90.00
_cell_angle_gamma 90.00
_space_group_name_H-M_alt 'P 1'
_space_group_IT_number 1
loop_
_space_group_symop_operation_xyz
'x,y,z'
loop_
_atom_site_label
_atom_site_fract_x
_atom_site_fract_y
_atom_site_fract_z
Tl1 0.000 0.000 0.000
Tl2 0.500 0.500 0.000
Sn1 0.149 0.351 0.500
Sn2 0.351 0.851 0.500
Sn3 0.649 0.149 0.500
Sn4 0.851 0.649 0.500
Rh1 0.143 0.643 0.000
Rh2 0.357 0.143 0.000
Rh3 0.643 0.857 0.000
Rh4 0.857 0.357 0.000
# Total moment, μB per formula unit: 0.00
# Energy above the lowest structure with this stoichiometry, eV/atom: 0.000

***

# GGA-PBE TlSnRh3, relaxed
data_TlSnRh3
_cell_length_a 4.861
_cell_length_b 4.861
_cell_length_c 4.861
_cell_angle_alpha 90.00
_cell_angle_beta 90.00
_cell_angle_gamma 90.00
_space_group_name_H-M_alt 'P 1'
_space_group_IT_number 1
loop_
_space_group_symop_operation_xyz
'x,y,z'
loop_
_atom_site_label
_atom_site_fract_x
_atom_site_fract_y
_atom_site_fract_z
Tl1 0.000 0.000 0.000
Sn1 0.500 0.500 0.500
Rh1 0.000 0.500 0.500
Rh2 0.500 0.000 0.500
Rh3 0.500 0.500 0.000
# Total moment, μB per formula unit: 0.00
# Energy above the lowest structure with this stoichiometry, eV/atom: 0.000

***

# GGA-PBE Tl2SnRh, relaxed
data_Tl2SnRh
_cell_length_a 9.437
_cell_length_b 9.437
_cell_length_c 5.102
_cell_angle_alpha 90.00
_cell_angle_beta 90.00
_cell_angle_gamma 90.00
_space_group_name_H-M_alt 'P 1'
_space_group_IT_number 1
loop_
_space_group_symop_operation_xyz
'x,y,z'
loop_
_atom_site_label
_atom_site_fract_x
_atom_site_fract_y
_atom_site_fract_z
Tl1 0.139 0.250 0.125
Tl2 0.250 0.639 0.375
Tl3 0.250 0.861 0.875
Tl4 0.361 0.250 0.625
Tl5 0.639 0.750 0.625
Tl6 0.750 0.139 0.875
Tl7 0.750 0.361 0.375
Tl8 0.861 0.750 0.125
Sn1 0.000 0.000 0.500
Sn2 0.000 0.500 0.750
Sn3 0.500 0.000 0.250
Sn4 0.500 0.500 0.000
Rh1 0.000 0.000 0.000
Rh2 0.000 0.500 0.250
Rh3 0.500 0.000 0.750
Rh4 0.500 0.500 0.500
# Total moment, μB per formula unit: 0.00
# VASP energy, eV per atom: -3.905

***

# GGA-PBE TlSn2Rh, relaxed
data_TlSn2Rh
_cell_length_a 3.313
_cell_length_b 3.313
_cell_length_c 8.542
_cell_angle_alpha 90.00
_cell_angle_beta 90.00
_cell_angle_gamma 90.00
_space_group_name_H-M_alt 'P 1'
_space_group_IT_number 1
loop_
_space_group_symop_operation_xyz
'x,y,z'
loop_
_atom_site_label
_atom_site_fract_x
_atom_site_fract_y
_atom_site_fract_z
Tl1 0.000 0.000 0.000
Sn1 0.500 0.500 0.312
Sn2 0.500 0.500 0.688
Rh1 0.000 0.000 0.500
# Total moment, μB per formula unit: 0.00
# Energy above the lowest structure with this stoichiometry, eV/atom: 0.000

***

# GGA-PBE Tm5SnRh4, relaxed
data_Tm5SnRh4
_cell_length_a 3.312
_cell_length_b 3.312
_cell_length_c 18.777
_cell_angle_alpha 90.00
_cell_angle_beta 90.00
_cell_angle_gamma 90.00
_space_group_name_H-M_alt 'P 1'
_space_group_IT_number 1
loop_
_space_group_symop_operation_xyz
'x,y,z'
loop_
_atom_site_label
_atom_site_fract_x
_atom_site_fract_y
_atom_site_fract_z
Tm1 0.000 0.000 0.000
Tm2 0.000 0.000 0.187
Tm3 0.000 0.000 0.372
Tm4 0.000 0.000 0.628
Tm5 0.000 0.000 0.813
Sn1 0.500 0.500 0.500
Rh1 0.500 0.500 0.093
Rh2 0.500 0.500 0.281
Rh3 0.500 0.500 0.719
Rh4 0.500 0.500 0.907
# Total moment, μB per formula unit: 0.00
# VASP energy, eV per atom: -6.477

***

# GGA-PBE TmSnRh4, relaxed
data_TmSnRh4
_cell_length_a 3.022
_cell_length_b 4.568
_cell_length_c 7.756
_cell_angle_alpha 90.00
_cell_angle_beta 90.00
_cell_angle_gamma 90.00
_space_group_name_H-M_alt 'P 1'
_space_group_IT_number 1
loop_
_space_group_symop_operation_xyz
'x,y,z'
loop_
_atom_site_label
_atom_site_fract_x
_atom_site_fract_y
_atom_site_fract_z
Tm1 0.000 0.000 0.000
Sn1 0.500 0.500 0.500
Rh1 0.000 0.500 0.215
Rh2 0.000 0.500 0.785
Rh3 0.500 0.000 0.297
Rh4 0.500 0.000 0.703
# Total moment, μB per formula unit: 0.00
# VASP energy, eV per atom: -6.563

***

# GGA-PBE Tm4Sn6Rh7, relaxed
data_Tm4Sn6Rh7
_cell_length_a 7.557
_cell_length_b 7.557
_cell_length_c 7.557
_cell_angle_alpha 109.47
_cell_angle_beta 109.47
_cell_angle_gamma 109.47
_space_group_name_H-M_alt 'P 1'
_space_group_IT_number 1
loop_
_space_group_symop_operation_xyz
'x,y,z'
loop_
_atom_site_label
_atom_site_fract_x
_atom_site_fract_y
_atom_site_fract_z
Tm1 0.000 0.000 0.500
Tm2 0.000 0.500 0.000
Tm3 0.500 0.000 0.000
Tm4 0.500 0.500 0.500
Sn1 0.000 0.314 0.314
Sn2 0.000 0.686 0.686
Sn3 0.314 0.000 0.314
Sn4 0.314 0.314 0.000
Sn5 0.686 0.000 0.686
Sn6 0.686 0.686 0.000
Rh1 0.000 0.000 0.000
Rh2 0.250 0.500 0.750
Rh3 0.250 0.750 0.500
Rh4 0.500 0.250 0.750
Rh5 0.500 0.750 0.250
Rh6 0.750 0.250 0.500
Rh7 0.750 0.500 0.250
# Total moment, μB per formula unit: 0.00
# VASP energy, eV per atom: -6.310

***

# GGA-PBE TmSn3Rh, relaxed
data_TmSn3Rh
_cell_length_a 4.569
_cell_length_b 8.813
_cell_length_c 8.813
_cell_angle_alpha 135.24
_cell_angle_beta 90.00
_cell_angle_gamma 90.00
_space_group_name_H-M_alt 'P 1'
_space_group_IT_number 1
loop_
_space_group_symop_operation_xyz
'x,y,z'
loop_
_atom_site_label
_atom_site_fract_x
_atom_site_fract_y
_atom_site_fract_z
Tm1 0.250 0.095 0.905
Tm2 0.750 0.905 0.095
Sn1 0.250 0.071 0.504
Sn2 0.250 0.551 0.887
Sn3 0.250 0.561 0.416
Sn4 0.750 0.416 0.561
Sn5 0.750 0.504 0.071
Sn6 0.750 0.887 0.551
Rh1 0.250 0.179 0.292
Rh2 0.750 0.292 0.179
# Total moment, μB per formula unit: 0.00
# VASP energy, eV per atom: -5.141

***

# GGA-PBE Tm4SnRh, relaxed
data_Tm4SnRh
_cell_length_a 7.941
_cell_length_b 7.941
_cell_length_c 5.948
_cell_angle_alpha 102.70
_cell_angle_beta 102.70
_cell_angle_gamma 112.63
_space_group_name_H-M_alt 'P 1'
_space_group_IT_number 1
loop_
_space_group_symop_operation_xyz
'x,y,z'
loop_
_atom_site_label
_atom_site_fract_x
_atom_site_fract_y
_atom_site_fract_z
Tm1 0.058 0.717 0.932
Tm2 0.213 0.358 0.660
Tm3 0.283 0.942 0.568
Tm4 0.358 0.213 0.160
Tm5 0.642 0.787 0.840
Tm6 0.717 0.058 0.432
Tm7 0.787 0.642 0.340
Tm8 0.942 0.283 0.068
Sn1 0.372 0.628 0.250
Sn2 0.628 0.372 0.750
Rh1 0.000 0.000 0.250
Rh2 0.000 0.000 0.750
# Total moment, μB per formula unit: 0.00
# VASP energy, eV per atom: -5.487

***

# GGA-PBE Tm3SnRh4, relaxed
data_Tm3SnRh4
_cell_length_a 8.185
_cell_length_b 8.185
_cell_length_c 8.185
_cell_angle_alpha 33.52
_cell_angle_beta 33.52
_cell_angle_gamma 33.52
_space_group_name_H-M_alt 'P 1'
_space_group_IT_number 1
loop_
_space_group_symop_operation_xyz
'x,y,z'
loop_
_atom_site_label
_atom_site_fract_x
_atom_site_fract_y
_atom_site_fract_z
Tm1 0.000 0.000 0.000
Tm2 0.247 0.247 0.247
Tm3 0.753 0.753 0.753
Sn1 0.500 0.500 0.500
Rh1 0.124 0.124 0.124
Rh2 0.376 0.376 0.376
Rh3 0.624 0.624 0.624
Rh4 0.876 0.876 0.876
# Total moment, μB per formula unit: 0.00
# VASP energy, eV per atom: -6.747

***

# GGA-PBE TmSn4Rh7, relaxed
data_TmSn4Rh7
_cell_length_a 6.575
_cell_length_b 6.575
_cell_length_c 9.524
_cell_angle_alpha 123.60
_cell_angle_beta 123.60
_cell_angle_gamma 42.45
_space_group_name_H-M_alt 'P 1'
_space_group_IT_number 1
loop_
_space_group_symop_operation_xyz
'x,y,z'
loop_
_atom_site_label
_atom_site_fract_x
_atom_site_fract_y
_atom_site_fract_z
Tm1 0.000 0.000 0.000
Sn1 0.280 0.280 0.662
Sn2 0.415 0.415 0.217
Sn3 0.585 0.585 0.783
Sn4 0.720 0.720 0.338
Rh1 0.072 0.072 0.330
Rh2 0.217 0.217 0.878
Rh3 0.357 0.357 0.443
Rh4 0.500 0.500 0.000
Rh5 0.643 0.643 0.557
Rh6 0.783 0.783 0.122
Rh7 0.928 0.928 0.670
# Total moment, μB per formula unit: 0.00
# VASP energy, eV per atom: -6.317

***

# GGA-PBE Tm2Sn3Rh4, relaxed
data_Tm2Sn3Rh4
_cell_length_a 8.689
_cell_length_b 8.689
_cell_length_c 7.225
_cell_angle_alpha 90.00
_cell_angle_beta 90.00
_cell_angle_gamma 139.73
_space_group_name_H-M_alt 'P 1'
_space_group_IT_number 1
loop_
_space_group_symop_operation_xyz
'x,y,z'
loop_
_atom_site_label
_atom_site_fract_x
_atom_site_fract_y
_atom_site_fract_z
Tm1 0.100 0.900 0.916
Tm2 0.400 0.600 0.416
Tm3 0.600 0.400 0.584
Tm4 0.900 0.100 0.084
Sn1 0.000 0.000 0.500
Sn2 0.015 0.485 0.750
Sn3 0.485 0.015 0.250
Sn4 0.500 0.500 0.000
Sn5 0.515 0.985 0.750
Sn6 0.985 0.515 0.250
Rh1 0.167 0.833 0.532
Rh2 0.179 0.321 0.750
Rh3 0.321 0.179 0.250
Rh4 0.333 0.667 0.032
Rh5 0.667 0.333 0.968
Rh6 0.679 0.821 0.750
Rh7 0.821 0.679 0.250
Rh8 0.833 0.167 0.468
# Total moment, μB per formula unit: 0.00
# VASP energy, eV per atom: -6.335

***

Number 1: DOS(E_F) 5.37 states/eV per cell. Number 2: DOS(E_F) 0.85 states/eV per cell. Number 3: DOS(E_F) 11.39 states/eV per cell. Number 4: DOS(E_F) 4.18 states/eV per cell. Number 5: DOS(E_F) 2.27 states/eV per cell. Number 6: DOS(E_F) 6.27 states/eV per cell. Number 7: DOS(E_F) 9.19 states/eV per cell. Number 8: DOS(E_F) 4.28 states/eV per cell. Number 9: DOS(E_F) 9.72 states/eV per cell. Number 10: DOS(E_F) 6.40 states/eV per cell. Number 11: DOS(E_F) 7.61 states/eV per cell. Number 12: DOS(E_F) 11.48 states/eV per cell.